Entry 1:
PmHo2Sb: optimized geometry, PBE.

a b c (Å): 4.1255 6.4931 9.5691
angles (deg): 90.00 90.00 108.53
Site moments in Bohr magnetons follow the coordinates.
Sites, in units of the cell vectors:
Pm  0.9431  0.8862  0.2500  0.12
Pm  0.0569  0.1138  0.7500  0.12
Ho  0.6372  0.2745  0.4572  0.14
Ho  0.3628  0.7255  0.9572  0.14
Ho  0.3628  0.7255  0.5428  0.14
Ho  0.6372  0.2745  0.0428  0.14
Sb  0.2378  0.4756  0.2500  0.00
Sb  0.7622  0.5244  0.7500  0.00

Output
symmetry	Cmcm (63)
uncorrected formation energy	-0.558	eV per atom

***

Entry 2:
Li2Tb2TmGa2: optimized geometry, PBE.

a b c (Å): 4.5714 4.5714 9.1876
angles (deg): 75.59 75.59 60.00
Sites, in units of the cell vectors:
Ga  0.7361  0.7361  0.7916
Ga  0.2639  0.2639  0.2084
Li  0.3930  0.3930  0.8211
Li  0.6070  0.6070  0.1789
Tb  0.1252  0.1252  0.6244
Tb  0.8748  0.8748  0.3756
Tm  0.0000  0.0000  0.0000

Output
symmetry	R-3m (166)
DFT formation energy	-275	meV/atom

***

Entry 3:
GeCl2O: optimized geometry, PBE.

a b c (Å): 5.0312 6.7914 16.0546
angles (deg): 90.02 90.00 90.01
Sites, in units of the cell vectors:
Cl  0.6558  0.4816  0.1128
Cl  0.6547  0.9825  0.8869
Cl  0.1558  0.0183  0.3871
Cl  0.1546  0.5174  0.6131
Cl  0.8454  0.4826  0.3869
Cl  0.8442  0.9817  0.6129
Cl  0.3453  0.0175  0.1131
Cl  0.3442  0.5184  0.8872
Ge  0.5006  0.2498  0.1877
Ge  0.0006  0.2502  0.3122
Ge  0.9994  0.7498  0.6878
Ge  0.4994  0.7502  0.8123
O  0.2494  0.8594  0.7500
O  0.2506  0.3594  0.2499
O  0.7494  0.6406  0.7501
O  0.7506  0.1406  0.2500

Output
symmetry	P2_1/c (14)
uncorrected formation energy	-1.176	eV per atom

***

Entry 4:
Rb3Ho2O4: optimized geometry, PBE.

a b c (Å): 3.8332 6.8902 8.6600
angles (deg): 82.61 77.21 73.85
Sites, in units of the cell vectors:
O  0.4416  0.2775  0.8392
O  0.1942  0.9732  0.6383
O  0.8058  0.0268  0.3617
O  0.5584  0.7225  0.1608
Rb  0.1974  0.4198  0.1855
Rb  0.0000  0.0000  0.0000
Rb  0.8026  0.5802  0.8145
Ho  0.3832  0.8598  0.3739
Ho  0.6168  0.1402  0.6261

Output
symmetry	C2/m (12)
uncorrected formation energy	-2.117	eV per atom

***

What did the fourth record say?
Rb3Ho2O4: optimized geometry, PBE.

a b c (Å): 3.8332 6.8902 8.6600
angles (deg): 82.61 77.21 73.85
Sites, in units of the cell vectors:
O  0.4416  0.2775  0.8392
O  0.1942  0.9732  0.6383
O  0.8058  0.0268  0.3617
O  0.5584  0.7225  0.1608
Rb  0.1974  0.4198  0.1855
Rb  0.0000  0.0000  0.0000
Rb  0.8026  0.5802  0.8145
Ho  0.3832  0.8598  0.3739
Ho  0.6168  0.1402  0.6261

Output
symmetry	C2/m (12)
uncorrected formation energy	-2.117	eV per atom